Record 1
DFT (GGA-PBE) results for InCu2Br after structural relaxation.

Distance to the lowest polymorph of the same formula ... 103 meV per atom
Spin magnetization ... 0.0 μB/f.u.

abc: 6.735 6.735 6.735
angles: 149.49 147.16 45.43
Positions (direct):
In 0.495 0.495 0.000
Cu 0.819 0.319 0.500
Cu 0.960 0.960 0.000
Br 0.226 0.726 0.500


Record 2
DFT (GGA-PBE) results for Sm3TlRh after structural relaxation.

Distance to the lowest polymorph of the same formula ... 0 meV per atom
Spin magnetization ... 0.0 μB/f.u.
Formation enthalpy at 0 K ... -0.49 eV/atom

abc: 4.951 7.424 15.168
angles: 90.00 90.00 90.00
Positions (direct):
Sm 0.250 0.010 0.398
Sm 0.250 0.364 0.541
Sm 0.750 0.490 0.898
Sm 0.750 0.136 0.041
Sm 0.750 0.806 0.222
Sm 0.250 0.694 0.722
Sm 0.750 0.990 0.602
Sm 0.250 0.194 0.778
Sm 0.750 0.306 0.278
Sm 0.750 0.636 0.459
Sm 0.250 0.864 0.959
Sm 0.250 0.510 0.102
Rh 0.250 0.279 0.955
Rh 0.750 0.221 0.455
Rh 0.250 0.779 0.545
Rh 0.750 0.721 0.045
Tl 0.750 0.420 0.676
Tl 0.750 0.920 0.824
Tl 0.250 0.080 0.176
Tl 0.250 0.580 0.324